(1)
Nd8Ir2Pt | PBE-GGA | optimized geometry

```
data_Nd8Ir2Pt
_chemical_formula_sum 'Nd8 Ir2 Pt1'
_cell_length_a 6.4274
_cell_length_b 7.6704
_cell_length_c 7.6704
_cell_angle_alpha 112.03
_cell_angle_beta 100.60
_cell_angle_gamma 100.60
_symmetry_space_group_name_H-M 'P 1'
_symmetry_Int_Tables_number 1
loop_
_symmetry_equiv_pos_as_xyz
'x,y,z'
loop_
_atom_site_label
_atom_site_type_symbol
_atom_site_fract_x
_atom_site_fract_y
_atom_site_fract_z
_atom_site_occupancy
Nd1 Nd 0.5945 0.3480 0.0815 1
Nd2 Nd 0.5945 0.0815 0.3480 1
Nd3 Nd 0.1818 0.3637 0.3637 1
Nd4 Nd 0.9802 0.2066 0.7902 1
Nd5 Nd 0.9802 0.7902 0.2066 1
Nd6 Nd 0.7885 0.6471 0.6471 1
Nd7 Nd 0.3608 0.9234 0.6538 1
Nd8 Nd 0.3608 0.6538 0.9234 1
Ir1 Ir 0.4884 0.6899 0.3198 1
Ir2 Ir 0.4884 0.3198 0.6899 1
Pt1 Pt 0.1816 0.0101 0.0101 1
```

Results
As for the total energy: -6.052 eV/atom. For the formation energy, the calculation gives -40.93 kJ per mole of atoms. The space-group type is No. 8. Its crystal system is monoclinic.

---

(2)
NdIrPt | PBE-GGA | optimized geometry

```
data_NdIrPt
_chemical_formula_sum 'Nd2 Ir2 Pt2'
_cell_length_a 5.4794
_cell_length_b 5.4794
_cell_length_c 5.4794
_cell_angle_alpha 89.72
_cell_angle_beta 120.08
_cell_angle_gamma 120.25
_symmetry_space_group_name_H-M 'P 1'
_symmetry_Int_Tables_number 1
loop_
_symmetry_equiv_pos_as_xyz
'x,y,z'
loop_
_atom_site_label
_atom_site_type_symbol
_atom_site_fract_x
_atom_site_fract_y
_atom_site_fract_z
_atom_site_occupancy
Nd1 Nd 0.2500 0.1265 0.8765 1
Nd2 Nd 0.7500 0.8735 0.1235 1
Ir1 Ir 0.5000 0.5000 0.5000 1
Ir2 Ir 0.0000 0.5000 0.0000 1
Pt1 Pt 0.0000 0.5000 0.5000 1
Pt2 Pt 0.5000 0.0000 0.5000 1
```

Results
As for the total energy: -7.408 eV/atom. For the formation energy, the calculation gives -82.20 kJ per mole of atoms. The space-group type is No. 74. Its crystal system is orthorhombic.

---

(3)
Nd8IrPt5 | PBE-GGA | optimized geometry

```
data_Nd8IrPt5
_chemical_formula_sum 'Nd8 Ir1 Pt5'
_cell_length_a 7.8018
_cell_length_b 7.8018
_cell_length_c 7.8018
_cell_angle_alpha 109.60
_cell_angle_beta 109.21
_cell_angle_gamma 109.60
_symmetry_space_group_name_H-M 'P 1'
_symmetry_Int_Tables_number 1
loop_
_symmetry_equiv_pos_as_xyz
'x,y,z'
loop_
_atom_site_label
_atom_site_type_symbol
_atom_site_fract_x
_atom_site_fract_y
_atom_site_fract_z
_atom_site_occupancy
Nd1 Nd 0.1282 0.7469 0.9934 1
Nd2 Nd 0.0066 0.1348 0.7534 1
Nd3 Nd 0.7512 0.2518 0.3776 1
Nd4 Nd 0.6224 0.3736 0.8742 1
Nd5 Nd 0.5007 0.6264 0.2488 1
Nd6 Nd 0.6186 0.8652 0.8718 1
Nd7 Nd 0.2466 0.2531 0.3814 1
Nd8 Nd 0.1258 0.7482 0.4993 1
Ir1 Ir 0.2500 0.5000 0.7500 1
Pt1 Pt 0.9979 0.3746 0.1255 1
Pt2 Pt 0.8745 0.8725 0.2491 1
Pt3 Pt 0.7509 0.6254 0.6234 1
Pt4 Pt 0.5000 0.0000 0.5000 1
Pt5 Pt 0.3766 0.1275 0.0021 1
```

Results
As for the total energy: -6.434 eV/atom. For the formation energy, the calculation gives -88.69 kJ per mole of atoms. The space-group type is No. 82. Its crystal system is tetragonal.

---

(4)
Nd8IrPt2 | PBE-GGA | optimized geometry

```
data_Nd8IrPt2
_chemical_formula_sum 'Nd8 Ir1 Pt2'
_cell_length_a 5.1127
_cell_length_b 6.9801
_cell_length_c 9.3239
_cell_angle_alpha 98.72
_cell_angle_beta 105.91
_cell_angle_gamma 90.00
_symmetry_space_group_name_H-M 'P 1'
_symmetry_Int_Tables_number 1
loop_
_symmetry_equiv_pos_as_xyz
'x,y,z'
loop_
_atom_site_label
_atom_site_type_symbol
_atom_site_fract_x
_atom_site_fract_y
_atom_site_fract_z
_atom_site_occupancy
Nd1 Nd 0.4131 0.5670 0.8263 1
Nd2 Nd 0.6635 0.9641 0.3271 1
Nd3 Nd 0.7964 0.6677 0.5929 1
Nd4 Nd 0.9657 0.2178 0.9314 1
Nd5 Nd 0.2036 0.3323 0.4071 1
Nd6 Nd 0.3365 0.0359 0.6729 1
Nd7 Nd 0.5869 0.4330 0.1737 1
Nd8 Nd 0.0343 0.7822 0.0686 1
Ir1 Ir 0.5000 0.0000 0.0000 1
Pt1 Pt 0.7993 0.2588 0.5985 1
Pt2 Pt 0.2007 0.7412 0.4015 1
```

Results
As for the total energy: -5.919 eV/atom. For the formation energy, the calculation gives -52.88 kJ per mole of atoms. The space-group type is No. 12. Its crystal system is monoclinic.

---

(5)
Nd3IrPt | PBE-GGA | optimized geometry

```
data_Nd3IrPt
_chemical_formula_sum 'Nd6 Ir2 Pt2'
_cell_length_a 4.1882
_cell_length_b 7.1755
_cell_length_c 9.1840
_cell_angle_alpha 90.00
_cell_angle_beta 90.00
_cell_angle_gamma 90.00
_symmetry_space_group_name_H-M 'P 1'
_symmetry_Int_Tables_number 1
loop_
_symmetry_equiv_pos_as_xyz
'x,y,z'
loop_
_atom_site_label
_atom_site_type_symbol
_atom_site_fract_x
_atom_site_fract_y
_atom_site_fract_z
_atom_site_occupancy
Nd1 Nd 0.0000 0.7625 0.3338 1
Nd2 Nd 0.5000 0.7375 0.6662 1
Nd3 Nd 0.5000 0.2625 0.6662 1
Nd4 Nd 0.0000 0.2375 0.3338 1
Nd5 Nd 0.0000 0.0000 0.9414 1
Nd6 Nd 0.5000 0.5000 0.0586 1
Ir1 Ir 0.0000 0.0000 0.6052 1
Ir2 Ir 0.5000 0.5000 0.3948 1
Pt1 Pt 0.5000 0.0000 0.1553 1
Pt2 Pt 0.0000 0.5000 0.8447 1
```

Results
As for the total energy: -6.569 eV/atom. For the formation energy, the calculation gives -70.22 kJ per mole of atoms. The space-group type is No. 59. Its crystal system is orthorhombic.

---

(6)
Nd4Ir2Pt | PBE-GGA | optimized geometry

```
data_Nd4Ir2Pt
_chemical_formula_sum 'Nd8 Ir4 Pt2'
_cell_length_a 7.7376
_cell_length_b 7.7341
_cell_length_c 7.7361
_cell_angle_alpha 109.31
_cell_angle_beta 109.32
_cell_angle_gamma 109.77
_symmetry_space_group_name_H-M 'P 1'
_symmetry_Int_Tables_number 1
loop_
_symmetry_equiv_pos_as_xyz
'x,y,z'
loop_
_atom_site_label
_atom_site_type_symbol
_atom_site_fract_x
_atom_site_fract_y
_atom_site_fract_z
_atom_site_occupancy
Nd1 Nd 0.8702 0.2459 0.2510 1
Nd2 Nd 0.2561 0.5049 0.1245 1
Nd3 Nd 0.9939 0.6186 0.7489 1
Nd4 Nd 0.7549 0.0057 0.6249 1
Nd5 Nd 0.3814 0.1302 0.3758 1
Nd6 Nd 0.3798 0.1307 0.8754 1
Nd7 Nd 0.4949 0.6198 0.7509 1
Nd8 Nd 0.8687 0.7446 0.2487 1
Ir1 Ir 0.7525 0.3747 0.8779 1
Ir2 Ir 0.4976 0.8754 0.1224 1
Ir3 Ir 0.6251 0.5027 0.3776 1
Ir4 Ir 0.1249 0.2470 0.6220 1
Pt1 Pt 0.2497 0.7499 0.4996 1
Pt2 Pt 0.0003 0.0001 0.0004 1
```

Results
As for the total energy: -6.869 eV/atom. For the formation energy, the calculation gives -72.30 kJ per mole of atoms. The space-group type is No. 5. Its crystal system is monoclinic.

---

(7)
Nd7Ir2Pt2 | PBE-GGA | optimized geometry

```
data_Nd7Ir2Pt2
_chemical_formula_sum 'Nd7 Ir2 Pt2'
_cell_length_a 6.9266
_cell_length_b 7.0795
_cell_length_c 6.9266
_cell_angle_alpha 90.02
_cell_angle_beta 101.30
_cell_angle_gamma 89.98
_symmetry_space_group_name_H-M 'P 1'
_symmetry_Int_Tables_number 1
loop_
_symmetry_equiv_pos_as_xyz
'x,y,z'
loop_
_atom_site_label
_atom_site_type_symbol
_atom_site_fract_x
_atom_site_fract_y
_atom_site_fract_z
_atom_site_occupancy
Nd1 Nd 0.9998 0.2583 0.5003 1
Nd2 Nd 0.5003 0.7417 0.9998 1
Nd3 Nd 0.0002 0.7417 0.4997 1
Nd4 Nd 0.4997 0.2583 0.0002 1
Nd5 Nd 0.0000 0.0000 0.0000 1
Nd6 Nd 0.5002 0.7503 0.4998 1
Nd7 Nd 0.4998 0.2497 0.5002 1
Ir1 Ir 0.7235 0.0000 0.2765 1
Ir2 Ir 0.2765 0.0000 0.7235 1
Pt1 Pt 0.7630 0.5000 0.7630 1
Pt2 Pt 0.2370 0.5000 0.2370 1
```

Results
As for the total energy: -6.302 eV/atom. For the formation energy, the calculation gives -53.87 kJ per mole of atoms. The space-group type is No. 65. Its crystal system is orthorhombic.

---

(8)
NdIrPt | PBE-GGA | optimized geometry

```
data_NdIrPt
_chemical_formula_sum 'Nd1 Ir1 Pt1'
_cell_length_a 3.9783
_cell_length_b 4.3793
_cell_length_c 4.3793
_cell_angle_alpha 120.00
_cell_angle_beta 90.00
_cell_angle_gamma 90.00
_symmetry_space_group_name_H-M 'P 1'
_symmetry_Int_Tables_number 1
loop_
_symmetry_equiv_pos_as_xyz
'x,y,z'
loop_
_atom_site_label
_atom_site_type_symbol
_atom_site_fract_x
_atom_site_fract_y
_atom_site_fract_z
_atom_site_occupancy
Ir1 Ir 0.1667 0.6667 0.3333 1
Nd1 Nd 0.6666 0.3333 0.6667 1
Pt1 Pt 0.1667 0.0000 0.0000 1
```

Results
As for the total energy: -7.305 eV/atom. For the formation energy, the calculation gives -72.24 kJ per mole of atoms. The space-group type is No. 187. Its crystal system is hexagonal.

---

For reference, DOS(E_F) by record: 1.01; 0.70; 0.83; 1.06; 0.58; 0.28; 0.76; 0.48 states/eV/atom.